Compound: ScCr2Fe
Source: Alexandria
Functional: PBE
Structure: optimized geometry

a = 2.959 Å, b = 2.959 Å, c = 6.451 Å
α = 90.00°, β = 90.00°, γ = 90.00°
Space group P4/mmm (No. 123)
Unique sites:
1 Sc 0.000 0.000 0.000
2 Cr 0.500 0.500 0.289
3 Fe 0.000 0.000 0.500

Energy relative to the lowest polymorph listed for this composition: 150 meV/atom

Compound: Li5Al
Source: Alexandria
Functional: PBE
Structure: optimized geometry

a = 5.1620 Å, b = 5.1620 Å, c = 4.7613 Å
α = 90.00°, β = 90.00°, γ = 120.00°
Space group P6/mmm (No. 191)
Unique sites:
1 Li 0.0000 0.5000 0.0000
2 Li 0.3333 0.6667 0.5000
3 Al 0.0000 0.0000 0.5000

Energy relative to the lowest polymorph listed for this composition: 203 meV/atom

Compound: Rb4NaBr4
Source: Alexandria
Functional: PBE
Structure: optimized geometry

a = 9.829 Å, b = 9.829 Å, c = 8.487 Å
α = 90.00°, β = 90.00°, γ = 90.00°
Space group P4_2/nmc (No. 137, origin choice 2)
Unique sites:
1 Rb 0.024 0.250 0.094
2 Na 0.250 0.750 0.250
3 Br 0.026 0.750 0.486

E_form (uncorrected): -12.8 eV/f.u.

Compound: IF7
Source: Alexandria
Functional: PBE
Structure: optimized geometry

a = 7.973 Å, b = 8.263 Å, c = 8.056 Å
α = 90.00°, β = 90.00°, γ = 90.00°
Space group P222_1 (No. 17)
Unique sites:
1 I 0.239 0.000 0.000
2 I 0.260 0.500 0.500
3 F 0.045 0.111 0.918
4 F 0.067 0.395 0.412
5 F 0.266 0.405 0.708
6 F 0.280 0.218 0.052
7 F 0.281 0.024 0.772
8 F 0.329 0.294 0.421
9 F 0.475 0.000 0.000
10 F 0.498 0.500 0.500

E_form (uncorrected): -10.5 eV/f.u.
Energy relative to the lowest polymorph listed for this composition: 7 meV/atom

Compound: YHg3I
Source: Alexandria
Functional: PBE
Structure: optimized geometry

a = 5.752 Å, b = 5.752 Å, c = 5.752 Å
α = 90.00°, β = 90.00°, γ = 90.00°
Space group Pm-3m (No. 221)
Unique sites:
1 Y 0.000 0.000 0.000
2 Hg 0.000 0.500 0.500
3 I 0.500 0.500 0.500

E_form (uncorrected): 3.5 eV/f.u.
Energy relative to the lowest polymorph listed for this composition: 627 meV/atom

Compound: AlCr2Cu
Source: Alexandria
Functional: PBE
Structure: optimized geometry

a = 6.688 Å, b = 6.688 Å, c = 4.823 Å
α = 90.00°, β = 90.00°, γ = 90.00°
Space group I-42d (No. 122)
Unique sites:
1 Al 0.000 0.000 0.000
2 Cr 0.240 0.250 0.625
3 Cu 0.000 0.000 0.500

E: -6.112 eV per atom